1.
A relaxed PaZn2Fe crystal, computed with PBE.

a b c (Å): 4.6430 4.6430 4.6452
angles (deg): 60.02 60.02 60.00
Fractional positions:
Pa 0.0000 0.0000 0.0000
Fe 0.5000 0.5000 0.5000
Zn 0.7502 0.7502 0.7495
Zn 0.2498 0.2498 0.2505

DOS at the Fermi energy (states/eV/cell): 6.560
Space group: Fm-3m, No. 225
Energy of formation from the pure elements (kJ per mole of atoms): 18.5
Theoretical density (g/cm³): 9.79
Total DFT energy (no corrections) (eV/atom): -4.93

2.
A relaxed Pa2ZnFe3 crystal, computed with PBE.

a b c (Å): 5.1451 5.1451 8.2293
angles (deg): 90.00 90.00 120.00
Fractional positions:
Pa 0.3333 0.6667 0.5735
Fe 0.1708 0.8292 0.2500
Fe 0.3416 0.1708 0.7500
Pa 0.3333 0.6667 0.9265
Fe 0.1708 0.3416 0.2500
Fe 0.8292 0.6584 0.7500
Pa 0.6667 0.3333 0.4265
Pa 0.6667 0.3333 0.0735
Zn 0.0000 0.0000 0.5000
Fe 0.8292 0.1708 0.7500
Zn 0.0000 0.0000 0.0000
Fe 0.6584 0.8292 0.2500

DOS at the Fermi energy (states/eV/cell): 15.195
Space group: P6_3/mmc, No. 194
Energy of formation from the pure elements (kJ per mole of atoms): -14.8
Theoretical density (g/cm³): 12.23
Total DFT energy (no corrections) (eV/atom): -7.76

3.
A relaxed Pa2ZnFe9 crystal, computed with PBE.

a b c (Å): 4.7651 4.7651 8.7975
angles (deg): 74.29 74.29 60.00
Fractional positions:
Fe 0.5793 0.0803 0.7611
Fe 0.9197 0.4207 0.2389
Fe 0.6668 0.6668 0.9996
Fe 0.3332 0.3332 0.0004
Zn 0.0000 0.0000 0.0000
Pa 0.8607 0.8607 0.4179
Fe 0.4207 0.4207 0.2389
Pa 0.1393 0.1393 0.5821
Fe 0.4207 0.9197 0.2389
Fe 0.0803 0.5793 0.7611
Fe 0.5000 0.5000 0.5000
Fe 0.5793 0.5793 0.7611

DOS at the Fermi energy (states/eV/cell): 15.135
Space group: R-3m, No. 166
Energy of formation from the pure elements (kJ per mole of atoms): 4.2
Theoretical density (g/cm³): 10.41
Total DFT energy (no corrections) (eV/atom): -7.99

4.
A relaxed PaZn3Fe2 crystal, computed with PBE.

a b c (Å): 6.1098 6.1098 5.5391
angles (deg): 104.77 104.77 84.43
Fractional positions:
Pa 0.8584 0.1416 0.7500
Zn 0.6542 0.6827 0.4671
Fe 0.5465 0.0243 0.7869
Zn 0.2707 0.7293 0.7500
Fe 0.0243 0.5465 0.2869
Pa 0.1416 0.8584 0.2500
Zn 0.3458 0.3173 0.5329
Zn 0.6827 0.6542 0.9671
Fe 0.4535 0.9757 0.2131
Zn 0.3173 0.3458 0.0329
Fe 0.9757 0.4535 0.7131
Zn 0.7293 0.2707 0.2500

DOS at the Fermi energy (states/eV/cell): 7.262
Space group: C2/c, No. 15
Energy of formation from the pure elements (kJ per mole of atoms): -4.7
Theoretical density (g/cm³): 9.26
Total DFT energy (no corrections) (eV/atom): -5.09

5.
A relaxed Zr2PaFe crystal, computed with PBE.

a b c (Å): 5.6824 6.5741 9.0407
angles (deg): 90.00 90.00 90.00
Fractional positions:
Zr 0.1662 0.6717 0.4395
Pa 0.1696 0.9458 0.7500
Fe 0.4672 0.8619 0.2500
Fe 0.0328 0.3619 0.2500
Zr 0.8338 0.3283 0.5605
Fe 0.5328 0.1381 0.7500
Fe 0.9672 0.6381 0.7500
Zr 0.6662 0.8283 0.9395
Zr 0.1662 0.6717 0.0605
Pa 0.3304 0.4458 0.7500
Zr 0.3338 0.1717 0.0605
Zr 0.8338 0.3283 0.9395
Zr 0.3338 0.1717 0.4395
Pa 0.6696 0.5542 0.2500
Pa 0.8304 0.0542 0.2500
Zr 0.6662 0.8283 0.5605

DOS at the Fermi energy (states/eV/cell): 17.751
Space group: Pnma, No. 62
Energy of formation from the pure elements (kJ per mole of atoms): -16.9
Theoretical density (g/cm³): 9.23
Total DFT energy (no corrections) (eV/atom): -8.94

6.
A relaxed ZrPaFe2 crystal, computed with PBE.

a b c (Å): 3.2183 4.6343 4.6343
angles (deg): 90.00 90.00 90.00
Fractional positions:
Zr 0.5000 0.0000 0.0000
Pa 0.5000 0.5000 0.5000
Fe 0.0000 0.5000 0.0000
Fe 0.0000 0.0000 0.5000

DOS at the Fermi energy (states/eV/cell): 4.253
Space group: P4/mmm, No. 123
Energy of formation from the pure elements (kJ per mole of atoms): -8.0
Theoretical density (g/cm³): 10.43
Total DFT energy (no corrections) (eV/atom): -8.83

- Number 5 is which compound?
  Zr2PaFe

- Look up the DOS at the Fermi energy of the first one.
  6.560 states/eV/cell

- What is the theoretical density in the second record?
  12.23 g/cm³